H2ClF (PBE-GGA, optimized geometry); crystal system = cubic; calculated total energy = -1.829 eV/atom; total moment = 0.00 μB per cell; symmetry = Fm-3m (225); excess energy over the best structure of this formula in the dataset = 171.0 kJ per mole of atoms; DOS at the Fermi energy = 6.47 states/eV/cell
1.0
5.2281 0.0000 0.0000
0.0000 5.2281 0.0000
0.0000 0.0000 5.2281
H Cl F
8 4 4
direct
0.2500 0.2500 0.2500
0.2500 0.2500 0.7500
0.2500 0.7500 0.2500
0.2500 0.7500 0.7500
0.7500 0.2500 0.2500
0.7500 0.2500 0.7500
0.7500 0.7500 0.2500
0.7500 0.7500 0.7500
0.0000 0.0000 0.0000
0.0000 0.5000 0.5000
0.5000 0.0000 0.5000
0.5000 0.5000 0.0000
0.0000 0.0000 0.5000
0.0000 0.5000 0.0000
0.5000 0.0000 0.0000
0.5000 0.5000 0.5000


LaCeOsAu (PBE-GGA, optimized geometry); crystal system = cubic; formation enthalpy at 0 K = -0.295 eV/atom; calculated total energy = -6.637 eV/atom; total moment = 2.75 μB per cell; symmetry = F-43m (216); DOS at the Fermi energy = 29.41 states/eV/cell
1.0
7.2362 0.0000 0.0000
0.0000 7.2362 0.0000
0.0000 0.0000 7.2362
La Ce Os Au
4 4 4 4
direct
0.0000 0.0000 0.0000
0.0000 0.5000 0.5000
0.5000 0.0000 0.5000
0.5000 0.5000 0.0000
0.0000 0.0000 0.5000
0.0000 0.5000 0.0000
0.5000 0.0000 0.0000
0.5000 0.5000 0.5000
0.2500 0.2500 0.2500
0.2500 0.7500 0.7500
0.7500 0.2500 0.7500
0.7500 0.7500 0.2500
0.2500 0.2500 0.7500
0.2500 0.7500 0.2500
0.7500 0.2500 0.2500
0.7500 0.7500 0.7500


BaZr2IO8 (PBE-GGA, optimized geometry); crystal system = monoclinic; calculated total energy = -7.100 eV/atom; total moment = 0.00 μB per cell; symmetry = C2/m (12); DOS at the Fermi energy = 2.63 states/eV/cell
1.0
4.0469 -3.3441 0.0000
4.0469 3.3441 0.0000
-1.4383 0.0000 7.2237
Ba Zr I O
1 2 1 8
direct
0.0000 0.0000 0.0000
0.4497 0.4497 0.7707
0.5503 0.5503 0.2293
0.0000 0.0000 0.5000
0.2092 0.7829 0.3014
0.2171 0.7908 0.6986
0.2458 0.2458 0.5507
0.3390 0.3390 0.9908
0.6610 0.6610 0.0092
0.7542 0.7542 0.4493
0.7829 0.2092 0.3014
0.7908 0.2171 0.6986


BAs2RhSe (PBE-GGA, optimized geometry); crystal system = tetragonal; calculated total energy = -4.110 eV/atom; total moment = 0.00 μB per cell; symmetry = P4/mmm (123); excess energy over the best structure of this formula in the dataset = 49.0 kJ per mole of atoms; DOS at the Fermi energy = 4.46 states/eV/cell
1.0
4.6550 0.0000 0.0000
0.0000 4.6550 0.0000
0.0000 0.0000 5.3300
B As Rh Se
1 2 1 1
direct
0.0000 0.0000 0.0000
0.0000 0.5000 0.5000
0.5000 0.0000 0.5000
0.5000 0.5000 0.5000
0.5000 0.5000 0.0000


Nd2Sm2Co (PBE-GGA, optimized geometry); crystal system = monoclinic; formation enthalpy at 0 K = -0.017 eV/atom; calculated total energy = -5.233 eV/atom; total moment = 0.00 μB per cell; symmetry = C2/m (12); DOS at the Fermi energy = 11.92 states/eV/cell
1.0
3.7560 -5.9211 0.0000
3.7560 5.9211 0.0000
-2.8508 0.0000 6.7543
Nd Sm Co
4 4 2
direct
0.2250 0.2250 0.4026
0.2551 0.2551 0.9069
0.7449 0.7449 0.0931
0.7750 0.7750 0.5974
0.2230 0.6803 0.2417
0.3197 0.7770 0.7583
0.6803 0.2230 0.2417
0.7770 0.3197 0.7583
0.1214 0.8786 0.0000
0.8786 0.1214 0.0000


YV2Te2 (PBE-GGA, optimized geometry); crystal system = tetragonal; calculated total energy = -6.256 eV/atom; total moment = 0.00 μB per cell; symmetry = P4/mbm (127); excess energy over the best structure of this formula in the dataset = 28.8 kJ per mole of atoms; DOS at the Fermi energy = 9.17 states/eV/cell
1.0
7.7441 0.0000 0.0000
0.0000 7.7441 0.0000
0.0000 0.0000 3.6720
Y V Te
2 4 4
direct
0.0000 0.0000 0.0000
0.5000 0.5000 0.0000
0.0883 0.4117 0.0000
0.4117 0.9117 0.0000
0.5883 0.0883 0.0000
0.9117 0.5883 0.0000
0.1896 0.6896 0.5000
0.3104 0.1896 0.5000
0.6896 0.8104 0.5000
0.8104 0.3104 0.5000